# 1
## Rb2BaSrI6 (PBE)

Data for a geometry-optimized Rb2BaSrI6 structure.

The structure in POSCAR format:
```
Rb2BaSrI6
1.0
8.7923 0.0000 -0.0483
0.0000 9.3324 0.0000
0.0077 0.0000 12.5469
I Rb Ba Sr
12 4 2 2
direct
0.8013 0.8080 0.5654
0.8147 0.7963 0.9314
0.8676 0.5480 0.2428
0.1853 0.2037 0.0686
0.6853 0.2963 0.5686
0.3147 0.7037 0.4314
0.6987 0.3080 0.9346
0.1324 0.4520 0.7572
0.3676 0.9520 0.7428
0.6324 0.0480 0.2572
0.3013 0.6920 0.0654
0.1987 0.1920 0.4346
0.9685 0.0828 0.7503
0.0315 0.9172 0.2497
0.4685 0.4172 0.2503
0.5315 0.5828 0.7497
0.0000 0.5000 0.5000
0.5000 0.0000 0.0000
0.0000 0.5000 0.0000
0.5000 0.0000 0.5000
```

Uncorrected energy: -3.126 eV per atom
Space group: No. 14
Size of the total moment: 0.0 μB/f.u.
Formation energy without anion corrections: -158 kJ/mol of atoms

# 2
## Rb2BaTaI6 (PBE)

Data for a geometry-optimized Rb2BaTaI6 structure.

The structure in POSCAR format:
```
Rb2BaTaI6
1.0
-0.1423 6.8436 -5.5434
-7.2405 3.0655 3.9703
-0.1460 8.2220 3.1563
I Ba Rb Ta
6 1 2 1
direct
0.2306 0.2306 0.0000
0.2306 0.2306 0.5388
0.7694 0.7694 0.4612
0.2306 0.7694 0.0000
0.7694 0.2306 0.0000
0.7694 0.7694 0.0000
0.5000 0.5000 0.0000
0.7500 0.2500 0.5000
0.2500 0.7500 0.5000
0.0000 0.0000 0.0000
```

Uncorrected energy: -3.471 eV per atom
Space group: No. 225
Size of the total moment: 3.0 μB/f.u.
Formation energy without anion corrections: -94 kJ/mol of atoms